[1]
VASP calculation (PBE) on a relaxed TbDyMg2Ag4 crystal.

The structure in POSCAR format:
```
TbDyMg2Ag4
1.0
4.916 0.000 0.000
0.000 4.916 0.000
0.000 0.000 6.954
Ag Dy Mg Tb
4 1 2 1
Cartesian
2.458 0.000 1.737 Ag
0.000 2.458 1.737 Ag
2.458 0.000 5.218 Ag
0.000 2.458 5.218 Ag
0.000 0.000 0.000 Dy
2.458 2.458 0.000 Mg
0.000 0.000 3.477 Mg
2.458 2.458 3.477 Tb
```

## Properties
**VASP energy**: -3.262 eV per atom


[2]
VASP calculation (PBE) on a relaxed NbNiBiPd crystal.

The structure in POSCAR format:
```
NbNiBiPd
1.0
0.000 3.281 3.281
3.281 0.000 3.281
3.281 3.281 0.000
Bi Nb Ni Pd
1 1 1 1
Cartesian
0.000 0.000 0.000 Bi
3.281 3.281 3.281 Nb
4.922 4.922 4.922 Ni
1.641 1.641 1.641 Pd
```

## Properties
**Energy relative to the lowest polymorph listed for this composition**: 0.013 eV per atom
**VASP energy**: -6.073 eV per atom